(1)
The following is a GGA-PBE calculation of a relaxed Rb2AsCF6 crystal, from Alexandria.

Structure (POSCAR):
```
Rb2AsCF6
1.0
5.8046 0.0000 0.0000
0.0000 5.8046 0.0000
2.9023 2.9023 5.0804
F C Rb As
6 1 2 1
Direct
0.2524 0.7476 0.0000
0.8007 0.8007 0.3985
0.1993 0.1993 0.6015
0.7476 0.2524 0.0000
0.2524 0.2524 0.0000
0.7476 0.7476 0.0000
0.5000 0.5000 0.0000
0.2500 0.7500 0.5000
0.7500 0.2500 0.5000
0.0000 0.0000 0.0000
```

Computed properties:
Formation energy from raw total energies ... -1.55 eV/atom


(2)
The following is a GGA-PBE calculation of a relaxed SbAsC2F crystal, from Alexandria.

Structure (POSCAR):
```
SbAsC2F
1.0
-0.2977 -4.1031 -1.1261
1.4314 -1.0975 3.6203
-3.9781 -0.1321 1.5328
C Sb F As
2 1 1 1
Direct
0.0000 0.0000 0.5000
0.5000 0.0000 0.0000
0.0000 0.0000 0.0000
0.0000 0.5000 0.0000
0.5000 0.5000 0.5000
```

Computed properties:
Formation energy from raw total energies ... 1.39 eV/atom


(3)
The following is a GGA-PBE calculation of a relaxed TaAsCF2 crystal, from Alexandria.

Structure (POSCAR):
```
TaAsCF2
1.0
3.7525 0.0000 0.0000
0.0000 5.5101 0.0000
0.0000 0.0000 3.7525
Ta As C F
1 1 1 2
Direct
0.5000 0.5000 0.5000
0.0000 0.0000 0.0000
0.0000 0.5000 0.0000
0.5000 0.0000 0.0000
0.0000 0.0000 0.5000
```

Computed properties:
Formation energy from raw total energies ... 0.50 eV/atom


(4)
The following is a GGA-PBE calculation of a relaxed TcAsC2F crystal, from Alexandria.

Structure (POSCAR):
```
TcAsC2F
1.0
4.0189 0.0000 0.0000
0.0000 4.1132 0.0000
0.0000 0.0000 4.0189
F C As Tc
1 2 1 1
Direct
0.0000 0.5000 0.0000
0.0000 0.0000 0.5000
0.5000 0.0000 0.0000
0.5000 0.5000 0.5000
0.0000 0.0000 0.0000
```

Computed properties:
Formation energy from raw total energies ... 1.07 eV/atom


(5)
The following is a GGA-PBE calculation of a relaxed FeAs3C crystal, from Alexandria.

Structure (POSCAR):
```
FeAs3C
1.0
-2.5678 0.5322 3.3059
2.7832 -1.9772 2.4801
1.8618 3.6897 0.8522
As C Fe
3 1 1
Direct
0.0000 0.5000 0.0000
0.5000 0.0000 0.0000
0.0000 0.0000 0.5000
0.0000 0.0000 0.0000
0.5000 0.5000 0.5000
```

Computed properties:
ΔE to the lowest computed polymorph ... 0 meV/atom


(6)
The following is a GGA-PBE calculation of a relaxed Fe3AsC crystal, from Alexandria.

Structure (POSCAR):
```
Fe3AsC
1.0
4.3664 0.0000 0.0000
0.0000 4.3664 0.0000
0.0000 0.0000 4.3664
Fe As C
3 1 1
Direct
0.5000 0.0000 0.0000
0.0000 0.5000 0.0000
0.0000 0.0000 0.5000
0.0000 0.0000 0.0000
0.5000 0.5000 0.5000
```

Computed properties:
VASP energy ... -29.58 eV per cell


Per-record total moment, μB per atom: 0.10 0.00 0.39 0.00 0.00 1.33